[1]
VASP calculation (PBE) on a geometry-optimized LiAl2Os structure.

Calculated values
The value obtained for the energy above the most stable polymorph in this dataset is 0.036 eV/atom. The formation energy is -0.366 eV per atom. As for the volume: 56.9 Å³/f.u.

Structure (CIF):
```
data_LiAl2Os
_space_group_name_H-M_alt 'P 4/m m m'
_space_group_IT_number 123
_space_group_name_Hall '-P 4 2'
_cell_length_a 3.1211
_cell_length_b 3.1211
_cell_length_c 5.8391
_cell_angle_alpha 90.00
_cell_angle_beta 90.00
_cell_angle_gamma 90.00
loop_
_atom_site_label
_atom_site_type_symbol
_atom_site_fract_x
_atom_site_fract_y
_atom_site_fract_z
Li1 Li 0.0000 0.0000 0.0000
Al1 Al 0.5000 0.5000 0.2646
Os1 Os 0.0000 0.0000 0.5000
```



[2]
VASP calculation (PBE) on a geometry-optimized LiAl4Os structure.

Calculated values
The formation energy is 0.013 eV per atom. As for the volume: 89.9 Å³/f.u.

Structure (CIF):
```
data_LiAl4Os
_space_group_name_H-M_alt 'F -4 3 m'
_space_group_IT_number 216
_space_group_name_Hall 'F -4 2 3'
_cell_length_a 7.1105
_cell_length_b 7.1105
_cell_length_c 7.1105
_cell_angle_alpha 90.00
_cell_angle_beta 90.00
_cell_angle_gamma 90.00
loop_
_atom_site_label
_atom_site_type_symbol
_atom_site_fract_x
_atom_site_fract_y
_atom_site_fract_z
Li1 Li 0.0000 0.0000 0.0000
Al1 Al 0.1242 0.1242 0.6242
Os1 Os 0.2500 0.2500 0.2500
```



[3]
VASP calculation (PBE) on a geometry-optimized LiAl2Os structure.

Calculated values
The value obtained for the energy above the most stable polymorph in this dataset is 0.285 eV/atom. The formation energy is -0.117 eV per atom. As for the volume: 57.2 Å³/f.u.

Structure (CIF):
```
data_LiAl2Os
_space_group_name_H-M_alt 'P 4 m m'
_space_group_IT_number 99
_cell_length_a 3.2778
_cell_length_b 3.2778
_cell_length_c 5.3271
_cell_angle_alpha 90.00
_cell_angle_beta 90.00
_cell_angle_gamma 90.00
loop_
_space_group_symop_operation_xyz
'x,y,z'
'-y,x,z'
'-x,-y,z'
'y,-x,z'
'-x,y,z'
'y,x,z'
'x,-y,z'
'-y,-x,z'
loop_
_atom_site_label
_atom_site_type_symbol
_atom_site_fract_x
_atom_site_fract_y
_atom_site_fract_z
Li1 Li 0.0000 0.0000 0.0000
Al1 Al 0.0000 0.0000 0.4557
Al2 Al 0.5000 0.5000 0.7581
Os1 Os 0.5000 0.5000 0.2555
```



no.,total moment (μB per atom)
1,0.0000
2,0.0000
3,0.0000